DFT (GGA-PBE) results for a relaxed structure of CdSn.

```
CdSn
1.0
3.338 0.000 0.000
-1.669 2.891 0.000
0.000 0.000 5.374
Cd Sn
1 1
Cartesian
0.000 0.000 0.000
1.669 0.964 2.687
```

Results
uncorrected energy	-2.37	eV/atom
energy of formation	0.087	eV/atom
V	51.9	Å³/cell
total magnetic moment	0.000	μB/f.u.

---

DFT (GGA-PBE) results for a relaxed structure of Sm2ZrCuSe5.

```
Sm2ZrCuSe5
1.0
1.975 -8.700 0.000
1.975 8.700 0.000
0.000 0.000 12.037
Sm Zr Cu Se
4 2 2 10
Cartesian
1.975 6.713 6.019
1.975 6.512 1.505
1.975 -6.512 7.523
1.975 -6.713 0.000
1.975 5.458 9.903
1.975 -5.458 3.884
1.975 1.159 2.996
1.975 -1.159 9.014
1.975 8.006 10.319
1.975 3.643 5.791
1.975 3.371 1.930
1.975 2.617 9.810
1.975 0.071 6.957
1.975 -0.071 0.938
1.975 -2.617 3.792
1.975 -3.371 7.949
1.975 -3.643 11.809
1.975 -8.006 4.300
```

Results
uncorrected energy	-5.82	eV/atom
ΔE_f (raw)	-1428	meV per atom
V	413.7	Å³/cell
total magnetic moment	0.000	μB/f.u.

---

DFT (GGA-PBE) results for a relaxed structure of Li3Cu2F8.

```
Li3Cu2F8
1.0
6.006 0.000 0.000
0.000 5.241 0.000
-0.665 0.000 9.580
Li Cu F
6 4 16
Cartesian
0.000 0.000 0.000
-0.332 2.621 4.790
1.557 0.156 7.209
1.889 2.465 2.419
3.452 2.776 7.161
3.785 5.086 2.371
0.233 2.719 8.312
0.565 5.142 3.522
4.777 0.099 6.059
5.109 2.522 1.269
-0.268 3.665 6.539
0.064 4.197 1.749
0.522 0.758 5.435
0.855 1.862 0.645
1.327 3.469 4.009
0.994 4.392 8.799
2.195 0.663 2.944
1.863 1.957 7.734
3.479 3.284 1.846
3.146 4.578 6.636
4.347 0.849 0.781
4.015 1.772 5.571
4.487 3.379 8.936
4.819 4.483 4.145
5.277 1.045 7.831
5.609 1.576 3.041
```

Results
uncorrected energy	-4.36	eV/atom
E above lowest polymorph	0.000	eV per atom
ΔE_f (raw)	-2137	meV per atom
V	301.6	Å³/cell
total magnetic moment	3.015	μB/f.u.

---

DFT (GGA-PBE) results for a relaxed structure of Dy2OsSe.

```
Dy2OsSe
1.0
3.456 0.000 0.000
0.000 3.456 0.000
0.000 0.000 7.219
Dy Os Se
2 1 1
Cartesian
0.000 0.000 1.681
0.000 0.000 5.538
1.728 1.728 0.000
1.728 1.728 3.610
```

Results
uncorrected energy	-6.83	eV/atom
ΔE_f (raw)	-855	meV per atom
V	86.2	Å³/cell
total magnetic moment	0.000	μB/f.u.

---

DFT (GGA-PBE) results for a relaxed structure of La6Ho12Tm.

```
La6Ho12Tm
1.0
8.349 4.820 2.727
-8.349 4.820 2.727
0.000 -9.640 2.727
La Ho Tm
6 12 1
Cartesian
-5.857 -3.382 4.887
0.000 -6.763 3.293
-5.857 3.382 3.293
5.857 -3.382 4.887
0.000 6.763 4.887
5.857 3.382 3.293
-3.238 -4.031 2.727
-5.110 -0.789 2.727
0.000 -3.118 3.103
-2.700 1.559 3.103
3.238 -4.031 2.727
-1.872 4.820 2.727
-2.700 -1.559 5.077
2.700 1.559 3.103
5.110 -0.789 2.727
1.872 4.820 2.727
2.700 -1.559 5.077
0.000 3.118 5.077
0.000 0.000 4.090
```

Results
uncorrected energy	-4.37	eV/atom
E above lowest polymorph	0.176	eV per atom
energy of formation	0.312	eV/atom
V	658.4	Å³/cell
total magnetic moment	0.003	μB/f.u.

---

DFT (GGA-PBE) results for a relaxed structure of LaY2In2.

```
LaY2In2
1.0
9.229 0.000 0.000
0.000 9.229 0.000
0.000 0.000 3.446
La Y In
2 4 4
Cartesian
0.000 0.000 0.000
4.614 4.614 0.000
1.171 3.443 0.000
3.443 8.057 0.000
5.786 1.171 0.000
8.057 5.786 0.000
1.587 6.201 1.723
3.028 1.587 1.723
6.201 7.642 1.723
7.642 3.028 1.723
```

Results
uncorrected energy	-5.02	eV/atom
E above lowest polymorph	0.041	eV per atom
energy of formation	-0.350	eV/atom
V	293.5	Å³/cell
total magnetic moment	0.461	μB/f.u.

---

DFT (GGA-PBE) results for a relaxed structure of Mn6NiPt.

```
Mn6NiPt
1.0
3.671 0.000 0.000
0.000 3.671 0.000
0.000 0.000 7.321
Mn Ni Pt
6 1 1
Cartesian
0.000 0.000 0.000
0.000 0.000 3.660
0.000 1.835 1.756
0.000 1.835 5.565
1.835 0.000 1.756
1.835 0.000 5.565
1.835 1.835 0.000
1.835 1.835 3.660
```

Results
uncorrected energy	-8.48	eV/atom
energy of formation	-0.122	eV/atom
V	98.7	Å³/cell
total magnetic moment	3.874	μB/f.u.

---

DFT (GGA-PBE) results for a relaxed structure of AcCe2In.

```
AcCe2In
1.0
0.000 3.991 3.991
3.991 0.000 3.991
3.991 3.991 0.000
Ac Ce In
1 2 1
Cartesian
0.000 0.000 0.000
1.996 1.996 1.996
5.987 5.987 5.987
3.991 3.991 3.991
```

Results
uncorrected energy	-4.64	eV/atom
E above lowest polymorph	0.147	eV per atom
energy of formation	0.036	eV/atom
V	127.2	Å³/cell
total magnetic moment	3.028	μB/f.u.